The following is a DFT calculation (PBE) of an optimized crystal structure of Nb2AlZnOs.

abc: 4.8749 4.8749 4.6845
angles: 90.00 90.00 90.00
Closest atoms and distances in Å follow each position.
Element x y z (fractional)
1 Nb 0.0000 0.5000 0.0000  2 Os 2.44
2 Nb 0.5000 0.0000 0.0000  2 Os 2.44
3 Al 0.0000 0.0000 0.5000  2 Os 2.34
4 Zn 0.5000 0.5000 0.5000  8 Nb 3.38, 4 Al 3.45
5 Os 0.0000 0.0000 0.0000  2 Al 2.34, 4 Nb 2.44

Computed properties:
- Total magnetic moment: 0.00 μB per cell
- Energy of formation: 0.84 eV/atom
- Calculated total energy: -6.44 eV per atom